[1]
# ZnNi2Sn2

A relaxed ZnNi2Sn2 crystal (GGA-PBE, the Alexandria database).

Properties
Energy of formation = 8.5 kJ/mol of atoms
V = 18.62 Å³ per atom
Offset from the most stable computed form = 152.3 meV/atom

a b c (Å): 8.1474 8.1474 8.1474
angles (deg): 155.47 155.47 34.97
Sites, in units of the cell vectors:
Zn (0.0000, 0.0000, 0.0000)
Ni (0.2500, 0.7500, 0.5000)
Ni (0.7500, 0.2500, 0.5000)
Sn (0.3782, 0.3782, 0.0000)
Sn (0.6218, 0.6218, 0.0000)

=====

[2]
# ScRePt2

A relaxed ScRePt2 crystal (GGA-PBE, the Alexandria database).

Properties
Energy of formation = -20.5 kJ/mol of atoms
V = 16.23 Å³ per atom

a b c (Å): 9.3014 9.3014 9.3014
angles (deg): 17.70 17.70 17.70
Sites, in units of the cell vectors:
Sc (0.0000, 0.0000, 0.0000)
Re (0.5000, 0.5000, 0.5000)
Pt (0.2488, 0.2488, 0.2488)
Pt (0.7512, 0.7512, 0.7512)

=====

[3]
# LuHfV4

A relaxed LuHfV4 crystal (GGA-PBE, the Alexandria database).

Properties
Energy of formation = 19.4 kJ/mol of atoms
V = 17.06 Å³ per atom

a b c (Å): 5.2509 5.2509 5.2509
angles (deg): 60.00 60.00 60.00
Sites, in units of the cell vectors:
Lu (0.0000, 0.0000, 0.0000)
Hf (0.2500, 0.2500, 0.2500)
V (0.1247, 0.6251, 0.6251)
V (0.6251, 0.1247, 0.6251)
V (0.6251, 0.6251, 0.1247)
V (0.6251, 0.6251, 0.6251)

=====

[4]
# LiGe2B

A relaxed LiGe2B crystal (GGA-PBE, the Alexandria database).

Properties
Energy of formation = 14.9 kJ/mol of atoms
V = 14.66 Å³ per atom

a b c (Å): 5.5473 5.5473 5.5473
angles (deg): 99.91 99.91 130.99
Sites, in units of the cell vectors:
Li (0.0000, 0.0000, 0.0000)
Li (0.7500, 0.2500, 0.5000)
Ge (0.2230, 0.6250, 0.0980)
Ge (0.3750, 0.4730, 0.5980)
Ge (0.5270, 0.1250, 0.9020)
Ge (0.8750, 0.7770, 0.4020)
B (0.2500, 0.7500, 0.5000)
B (0.5000, 0.5000, 0.0000)

=====

[5]
# HfTaNb2

A relaxed HfTaNb2 crystal (GGA-PBE, the Alexandria database).

Properties
Energy of formation = 4.6 kJ/mol of atoms
V = 19.16 Å³ per atom
Offset from the most stable computed form = 12.7 meV/atom

a b c (Å): 5.8610 5.8610 4.7139
angles (deg): 90.00 90.00 108.85
Sites, in units of the cell vectors:
Hf (0.1189, 0.8811, 0.7500)
Hf (0.8811, 0.1189, 0.2500)
Ta (0.3701, 0.6299, 0.2500)
Ta (0.6299, 0.3701, 0.7500)
Nb (0.1448, 0.3917, 0.7500)
Nb (0.3917, 0.1448, 0.2500)
Nb (0.6083, 0.8552, 0.7500)
Nb (0.8552, 0.6083, 0.2500)

=====

[6]
# Cr2Rh

A relaxed Cr2Rh crystal (GGA-PBE, the Alexandria database).

Properties
Energy of formation = 26.0 kJ/mol of atoms
V = 13.05 Å³ per atom

a b c (Å): 11.3221 11.3221 11.3221
angles (deg): 166.57 166.57 19.04
Sites, in units of the cell vectors:
Cr (0.2924, 0.5424, 0.7500)
Cr (0.4576, 0.7076, 0.7500)
Cr (0.5424, 0.2924, 0.2500)
Cr (0.7076, 0.4576, 0.2500)
Rh (0.1250, 0.8750, 0.2500)
Rh (0.8750, 0.1250, 0.7500)